1.
Rb5Tl12Cd2: relaxed, PBE.

a = 9.1406 Å, b = 9.0645 Å, c = 9.8278 Å
α = 62.54°, β = 90.02°, γ = 90.00°
With the nearest neighbours (Å) after each atom.
Fractional coordinates of all 19 atoms:
Tl 0.2006 0.0686 0.2201  1 Cd 3.04, 2 Tl 3.24-3.34
Cd 0.0000 0.6577 0.0000  1 Cd 2.86, 4 Tl 3.04-3.20
Rb 0.5197 0.7627 0.4746  7 Tl 3.75-4.06, 1 Rb 4.14
Tl 0.7994 0.9314 0.7799  1 Cd 3.04, 2 Tl 3.24-3.34
Tl 0.7129 0.2070 0.2078  1 Cd 3.20, 3 Tl 3.24-3.43
Rb 0.5000 0.0000 0.0000  10 Tl 3.61-3.87
Tl 0.2871 0.7930 0.7922  1 Cd 3.20, 3 Tl 3.24-3.43
Rb 0.0162 0.2789 0.4423  8 Tl 3.81-4.16, 2 Cd 4.12
Tl 0.6503 0.5590 0.8821  5 Tl 3.34-3.43, 2 Cd 3.65
Tl 0.2006 0.7114 0.2201  1 Cd 3.04, 2 Tl 3.24-3.34
Tl 0.8733 0.9320 0.1361  7 Tl 3.24-3.57, 2 Cd 3.52, 1 Rb 3.61
Tl 0.1267 0.0680 0.8639  7 Tl 3.24-3.57, 2 Cd 3.52, 1 Rb 3.61
Tl 0.7129 0.5851 0.2078  1 Cd 3.20, 3 Tl 3.24-3.43
Rb 0.4803 0.2373 0.5254  7 Tl 3.75-4.06, 1 Rb 4.14
Tl 0.7994 0.2886 0.7799  1 Cd 3.04, 2 Tl 3.24-3.34
Tl 0.3497 0.4410 0.1179  5 Tl 3.34-3.43, 2 Cd 3.65
Tl 0.2871 0.4149 0.7922  1 Cd 3.20, 3 Tl 3.24-3.43
Cd 0.0000 0.3422 0.0000  1 Cd 2.86, 4 Tl 3.04-3.20
Rb 0.9838 0.7211 0.5577  8 Tl 3.81-4.16, 2 Cd 4.12

Properties
The space group is C2/m, No. 12. As for the density of states at the Fermi level: 0.55 states/eV per atom. As for the total energy: -0.13883 Ry per atom.


2.
RbTlCd3: relaxed, PBE.

a = 5.8541 Å, b = 5.8541 Å, c = 5.8541 Å
α = 90.00°, β = 90.00°, γ = 90.00°
With the nearest neighbours (Å) after each atom.
Fractional coordinates of all 5 atoms:
Tl 0.0000 0.0000 0.0000  6 Cd 2.93
Cd 0.0000 0.0000 0.5000  2 Tl 2.93
Cd 0.5000 0.0000 0.0000  2 Tl 2.93
Cd 0.0000 0.5000 0.0000  2 Tl 2.93
Rb 0.5000 0.5000 0.5000  12 Cd 4.14

Properties
The space group is Pm-3m, No. 221. As for the density of states at the Fermi level: 0.68 states/eV per atom. As for the total energy: -0.07881 Ry per atom.


3.
Rb2TlCd3: relaxed, PBE.

a = 5.5385 Å, b = 6.8890 Å, c = 6.8239 Å
α = 81.37°, β = 66.06°, γ = 66.30°
With the nearest neighbours (Å) after each atom.
Fractional coordinates of all 6 atoms:
Cd 0.8445 0.2342 0.0768  2 Cd 3.06-3.08, 2 Tl 3.17
Rb 0.5694 0.1854 0.6759  9 Cd 3.74-4.13, 3 Tl 3.86-4.08
Cd 0.1561 0.7683 0.9196  3 Cd 3.08-3.16, 1 Tl 3.11
Rb 0.4320 0.8131 0.3228  9 Cd 3.74-4.15, 3 Tl 3.79
Tl 0.1682 0.4085 0.2550  4 Cd 3.11-3.28
Cd 0.8298 0.5904 0.7499  3 Cd 3.06-3.16, 1 Tl 3.28

Properties
The space group is Cm, No. 8. As for the density of states at the Fermi level: 0.74 states/eV per atom. As for the total energy: -0.09084 Ry per atom.


4.
Rb3Tl2Cd2: relaxed, PBE.

a = 7.3713 Å, b = 10.0660 Å, c = 16.0999 Å
α = 90.00°, β = 90.00°, γ = 90.00°
With the nearest neighbours (Å) after each atom.
Fractional coordinates of all 28 atoms:
Cd 0.6074 0.4736 0.4113  3 Tl 3.07-3.15, 1 Cd 3.31
Rb 0.8775 0.3814 0.8980  4 Cd 3.77-4.10, 2 Tl 3.85-3.87, 1 Rb 4.22
Rb 0.8775 0.1186 0.1020  4 Cd 3.77-4.10, 2 Tl 3.85-3.87, 1 Rb 4.22
Rb 0.1225 0.6186 0.1020  4 Cd 3.77-4.10, 2 Tl 3.85-3.87, 1 Rb 4.22
Rb 0.6613 0.7721 0.2500  5 Tl 3.74-4.12, 4 Cd 3.85-3.99
Cd 0.6074 0.0264 0.5887  3 Tl 3.07-3.15, 1 Cd 3.31
Rb 0.1225 0.8814 0.6020  4 Cd 3.77-4.10, 2 Tl 3.85-3.87, 1 Rb 4.22
Rb 0.3387 0.2279 0.7500  5 Tl 3.74-4.12, 4 Cd 3.85-3.99
Rb 0.6613 0.7279 0.7500  5 Tl 3.74-4.12, 4 Cd 3.85-3.99
Cd 0.3926 0.5264 0.9113  3 Tl 3.07-3.15, 1 Cd 3.31
Tl 0.8162 0.4180 0.2500  2 Cd 3.07
Rb 0.8775 0.1186 0.3980  4 Cd 3.77-4.10, 2 Tl 3.85-3.87, 1 Rb 4.22
Rb 0.1225 0.6186 0.3980  4 Cd 3.77-4.10, 2 Tl 3.85-3.87, 1 Rb 4.22
Rb 0.8775 0.3814 0.6020  4 Cd 3.77-4.10, 2 Tl 3.85-3.87, 1 Rb 4.22
Rb 0.3387 0.2721 0.2500  5 Tl 3.74-4.12, 4 Cd 3.85-3.99
Tl 0.3801 0.2500 0.5000  4 Cd 3.13-3.15
Tl 0.6199 0.7500 0.0000  4 Cd 3.13-3.15
Cd 0.6074 0.4736 0.0887  3 Tl 3.07-3.15, 1 Cd 3.31
Cd 0.3926 0.5264 0.5887  3 Tl 3.07-3.15, 1 Cd 3.31
Tl 0.1838 0.9180 0.2500  2 Cd 3.07
Tl 0.6199 0.7500 0.5000  4 Cd 3.13-3.15
Cd 0.3926 0.9736 0.4113  3 Tl 3.07-3.15, 1 Cd 3.31
Tl 0.8162 0.0820 0.7500  2 Cd 3.07
Cd 0.3926 0.9736 0.0887  3 Tl 3.07-3.15, 1 Cd 3.31
Tl 0.1838 0.5820 0.7500  2 Cd 3.07
Tl 0.3801 0.2500 0.0000  4 Cd 3.13-3.15
Cd 0.6074 0.0264 0.9113  3 Tl 3.07-3.15, 1 Cd 3.31
Rb 0.1225 0.8814 0.8980  4 Cd 3.77-4.10, 2 Tl 3.85-3.87, 1 Rb 4.22

Properties
The space group is Pbcm, No. 57. As for the density of states at the Fermi level: 0.51 states/eV per atom. As for the total energy: -0.10371 Ry per atom.


5.
Rb2Tl6Cd3: relaxed, PBE.

a = 5.0037 Å, b = 9.4078 Å, c = 9.4078 Å
α = 120.00°, β = 90.00°, γ = 90.00°
With the nearest neighbours (Å) after each atom.
Fractional coordinates of all 11 atoms:
Tl 0.0000 0.8038 0.0000  2 Cd 3.03, 2 Tl 3.20
Rb 0.0000 0.3333 0.6667  6 Cd 3.87, 9 Tl 3.94-4.17
Tl 0.5000 0.2940 0.0000  3 Cd 3.08-3.24
Tl 0.5000 0.0000 0.2940  3 Cd 3.08-3.24
Tl 0.0000 0.1962 0.1962  2 Cd 3.03, 2 Tl 3.20
Cd 0.5000 0.0000 0.6214  5 Tl 3.03-3.24
Tl 0.5000 0.7060 0.7060  3 Cd 3.08-3.24
Rb 0.0000 0.6667 0.3333  6 Cd 3.87, 9 Tl 3.94-4.17
Cd 0.5000 0.6214 0.0000  5 Tl 3.03-3.24
Cd 0.5000 0.3786 0.3786  5 Tl 3.03-3.24
Tl 0.0000 0.0000 0.8038  2 Cd 3.03, 2 Tl 3.20

Properties
The space group is P-62m, No. 189. As for the density of states at the Fermi level: 0.65 states/eV per atom. As for the total energy: -0.12839 Ry per atom.


6.
RbTl6Cd2: relaxed, PBE.

a = 9.9784 Å, b = 9.9784 Å, c = 9.9784 Å
α = 60.00°, β = 60.00°, γ = 60.00°
With the nearest neighbours (Å) after each atom.
Fractional coordinates of all 18 atoms:
Cd 0.1250 0.1250 0.1250  6 Tl 3.04
Tl 0.4979 0.0021 0.0021  2 Cd 3.04
Tl 0.7521 0.2479 0.2479  2 Cd 3.04
Rb 0.5000 0.5000 0.5000  6 Tl 3.56
Tl 0.4979 0.0021 0.4979  2 Cd 3.04
Tl 0.7521 0.2479 0.7521  2 Cd 3.04
Tl 0.0021 0.4979 0.4979  2 Cd 3.04
Cd 0.1250 0.6250 0.1250  6 Tl 3.04
Cd 0.6250 0.1250 0.1250  6 Tl 3.04
Tl 0.2479 0.7521 0.2479  2 Cd 3.04
Tl 0.2479 0.7521 0.7521  2 Cd 3.04
Tl 0.7521 0.7521 0.2479  2 Cd 3.04
Rb 0.7500 0.7500 0.7500  6 Tl 3.56
Tl 0.4979 0.4979 0.0021  2 Cd 3.04
Cd 0.1250 0.1250 0.6250  6 Tl 3.04
Tl 0.0021 0.0021 0.4979  2 Cd 3.04
Tl 0.2479 0.2479 0.7521  2 Cd 3.04
Tl 0.0021 0.4979 0.0021  2 Cd 3.04

Properties
The space group is Fd-3m, No. 227. As for the density of states at the Fermi level: 0.69 states/eV per atom. As for the total energy: -0.12555 Ry per atom.


7.
Rb3TlCd4: relaxed, PBE.

a = 6.7084 Å, b = 7.8503 Å, c = 7.8503 Å
α = 59.89°, β = 64.71°, γ = 64.71°
With the nearest neighbours (Å) after each atom.
Fractional coordinates of all 8 atoms:
Cd 0.4459 0.3070 0.3070  3 Cd 3.01-3.31, 1 Tl 3.02
Rb 0.4343 0.3198 0.8116  2 Rb 3.85-3.98, 7 Cd 3.86-3.98, 2 Tl 3.91
Cd 0.7582 0.9364 0.5472  3 Cd 3.01-3.05, 1 Tl 3.06
Rb 0.0959 0.9041 0.9041  2 Tl 4.14, 8 Cd 4.16-4.42, 6 Rb 4.34-4.44
Cd 0.9400 0.3070 0.3070  3 Cd 3.01-3.31, 1 Tl 3.02
Tl 0.9821 0.5179 0.5179  4 Cd 3.02-3.06
Rb 0.4343 0.8116 0.3198  2 Rb 3.85-3.98, 7 Cd 3.86-3.98, 2 Tl 3.91
Cd 0.7582 0.5472 0.9364  3 Cd 3.01-3.05, 1 Tl 3.06

Properties
The space group is Imm2, No. 44. As for the density of states at the Fermi level: 0.72 states/eV per atom. As for the total energy: -0.08428 Ry per atom.


8.
RbTlCd2: relaxed, PBE.

a = 4.1513 Å, b = 4.1513 Å, c = 8.1010 Å
α = 90.00°, β = 90.00°, γ = 90.00°
With the nearest neighbours (Å) after each atom.
Fractional coordinates of all 4 atoms:
Tl 0.5000 0.5000 0.0000  8 Cd 3.32
Cd 0.0000 0.0000 0.8080  1 Cd 3.11, 4 Tl 3.32
Rb 0.5000 0.5000 0.5000  8 Cd 3.85, 2 Tl 4.05, 4 Rb 4.15
Cd 0.0000 0.0000 0.1920  1 Cd 3.11, 4 Tl 3.32

Properties
The space group is P4/mmm, No. 123. As for the density of states at the Fermi level: 0.52 states/eV per atom. As for the total energy: -0.09365 Ry per atom.


no.,ΔE_f (eV/atom)
1,-0.0435
2,0.1436
3,-0.0615
4,-0.0588
5,-0.0306
6,0.1802
7,-0.0305
8,0.0168